Entry 1:
Compound: K3Na12Cd
Source: Alexandria via LeMat-Bulk
Functional: PBE-GGA
Structure: relaxed

Cell lengths 5.774, 5.774, 19.581 Å; angles 90.00, 90.00, 90.00 degrees
Sites, in units of the cell vectors:
K1 0.000 0.000 0.000
K2 0.000 0.000 0.278
K3 0.000 0.000 0.722
Na1 0.000 0.500 0.138
Na2 0.000 0.500 0.407
Na3 0.000 0.500 0.593
Na4 0.000 0.500 0.862
Na5 0.500 0.000 0.138
Na6 0.500 0.000 0.407
Na7 0.500 0.000 0.593
Na8 0.500 0.000 0.862
Na9 0.500 0.500 0.000
Na10 0.500 0.500 0.270
Na11 0.500 0.500 0.500
Na12 0.500 0.500 0.730
Cd1 0.000 0.000 0.500

Calculated formation energy: 0.01 eV/atom
SG: No. 123
Calculated volume: 652.7 Å³/cell

Entry 2:
Compound: K2Na9Cd6
Source: Alexandria via LeMat-Bulk
Functional: PBE-GGA
Structure: relaxed

Cell lengths 6.666, 6.666, 16.054 Å; angles 90.00, 90.00, 120.00 degrees
Sites, in units of the cell vectors:
K1 0.000 0.000 0.166
K2 0.000 0.000 0.834
Na1 0.000 0.500 0.000
Na2 0.000 0.500 0.334
Na3 0.000 0.500 0.666
Na4 0.500 0.000 0.000
Na5 0.500 0.000 0.334
Na6 0.500 0.000 0.666
Na7 0.500 0.500 0.000
Na8 0.500 0.500 0.334
Na9 0.500 0.500 0.666
Cd1 0.333 0.667 0.167
Cd2 0.333 0.667 0.500
Cd3 0.333 0.667 0.833
Cd4 0.667 0.333 0.167
Cd5 0.667 0.333 0.500
Cd6 0.667 0.333 0.833

Calculated formation energy: 0.04 eV/atom
SG: No. 191
Calculated volume: 617.8 Å³/cell

Entry 3:
Compound: K2NaCd
Source: Alexandria via LeMat-Bulk
Functional: PBE-GGA
Structure: relaxed

Cell lengths 7.091, 7.091, 4.577 Å; angles 108.52, 108.52, 65.52 degrees
Sites, in units of the cell vectors:
K1 0.197 0.197 0.197
K2 0.803 0.803 0.803
Na1 0.457 0.543 0.000
Cd1 0.751 0.249 0.500

Calculated formation energy: 0.01 eV/atom
SG: No. 5
Calculated volume: 193.9 Å³/cell

Entry 4:
Compound: K17NaCd11
Source: Alexandria via LeMat-Bulk
Functional: PBE-GGA
Structure: relaxed

Cell lengths 11.765, 11.765, 11.563 Å; angles 109.50, 109.50, 109.09 degrees
Sites, in units of the cell vectors:
K1 0.000 0.000 0.000
K2 0.002 0.002 0.567
K3 0.080 0.392 0.251
K4 0.085 0.673 0.934
K5 0.253 0.253 0.522
K6 0.265 0.985 0.844
K7 0.334 0.675 0.684
K8 0.355 0.677 0.243
K9 0.368 0.952 0.535
K10 0.392 0.080 0.251
K11 0.673 0.085 0.934
K12 0.674 0.674 0.893
K13 0.675 0.334 0.684
K14 0.677 0.355 0.243
K15 0.679 0.679 0.242
K16 0.952 0.368 0.535
K17 0.985 0.265 0.844
Na1 0.517 0.517 0.449
Cd1 0.011 0.839 0.240
Cd2 0.012 0.679 0.423
Cd3 0.338 0.338 0.075
Cd4 0.340 0.505 0.904
Cd5 0.505 0.340 0.904
Cd6 0.510 0.844 0.076
Cd7 0.679 0.012 0.423
Cd8 0.695 0.865 0.604
Cd9 0.839 0.011 0.240
Cd10 0.844 0.510 0.076
Cd11 0.865 0.695 0.604

Calculated formation energy: -0.01 eV/atom
SG: No. 8
Calculated volume: 1237.0 Å³/cell

Entry 5:
Compound: K2Na3Cd4
Source: Alexandria via LeMat-Bulk
Functional: PBE-GGA
Structure: relaxed

Cell lengths 8.873, 8.647, 8.643 Å; angles 90.00, 109.44, 90.00 degrees
Sites, in units of the cell vectors:
K1 0.185 0.161 0.058
K2 0.185 0.339 0.558
K3 0.815 0.661 0.442
K4 0.815 0.839 0.942
Na1 0.253 0.678 0.250
Na2 0.253 0.822 0.750
Na3 0.500 0.000 0.500
Na4 0.500 0.500 0.000
Na5 0.747 0.178 0.250
Na6 0.747 0.322 0.750
Cd1 0.081 0.541 0.879
Cd2 0.081 0.959 0.379
Cd3 0.496 0.123 0.873
Cd4 0.496 0.377 0.373
Cd5 0.504 0.623 0.627
Cd6 0.504 0.877 0.127
Cd7 0.919 0.041 0.621
Cd8 0.919 0.459 0.121

Calculated formation energy: -0.04 eV/atom
SG: No. 14
Calculated volume: 625.3 Å³/cell

Entry 6:
Compound: K3NaCd
Source: Alexandria via LeMat-Bulk
Functional: PBE-GGA
Structure: relaxed

Cell lengths 6.804, 6.804, 6.804 Å; angles 90.00, 90.00, 90.00 degrees
Sites, in units of the cell vectors:
K1 0.000 0.000 0.500
K2 0.000 0.500 0.000
K3 0.500 0.000 0.000
Na1 0.500 0.500 0.500
Cd1 0.000 0.000 0.000

Calculated formation energy: 0.10 eV/atom
SG: No. 221
Calculated volume: 315.0 Å³/cell

Entry 7:
Compound: K3NaCd8
Source: Alexandria via LeMat-Bulk
Functional: PBE-GGA
Structure: relaxed

Cell lengths 11.079, 11.079, 11.079 Å; angles 32.68, 32.68, 32.68 degrees
Sites, in units of the cell vectors:
K1 0.000 0.000 0.000
K2 0.126 0.126 0.126
K3 0.624 0.624 0.624
Na1 0.500 0.500 0.500
Cd1 0.061 0.061 0.560
Cd2 0.061 0.560 0.061
Cd3 0.067 0.563 0.563
Cd4 0.313 0.313 0.313
Cd5 0.560 0.061 0.061
Cd6 0.563 0.067 0.563
Cd7 0.563 0.563 0.067
Cd8 0.813 0.813 0.813

Calculated formation energy: -0.10 eV/atom
SG: No. 160
Calculated volume: 352.6 Å³/cell

Entry 8:
Compound: KNaCd2
Source: Alexandria via LeMat-Bulk
Functional: PBE-GGA
Structure: relaxed

Cell lengths 5.223, 8.580, 6.981 Å; angles 90.00, 111.73, 90.00 degrees
Sites, in units of the cell vectors:
K1 0.068 0.250 0.137
K2 0.932 0.750 0.863
Na1 0.362 0.250 0.724
Na2 0.638 0.750 0.276
Cd1 0.246 0.581 0.491
Cd2 0.246 0.919 0.491
Cd3 0.754 0.081 0.509
Cd4 0.754 0.419 0.509

Calculated formation energy: -0.06 eV/atom
SG: No. 11
Calculated volume: 290.6 Å³/cell